[1]
ScRe2As (PBE, optimized geometry); formation enthalpy at 0 K = 0.1218 eV/atom; total DFT energy (no corrections) = -0.3251 Ha/atom; density of states at the Fermi level = 4.2 states/eV/f.u.
1.0
1.5198 0.8775 8.4238
-1.5198 0.8775 8.4238
0.0000 -1.7550 8.4238
Sc Re As
1 2 1
Cartesian
0.0000 0.0000 0.0000
0.0000 0.0000 12.6618
0.0000 0.0000 19.0048
0.0000 0.0000 6.0727


[2]
ReS (PBE, optimized geometry); total DFT energy (no corrections) = -0.2936 Ha/atom; density of states at the Fermi level = 1.5 states/eV/f.u.
1.0
7.0836 0.0000 0.0000
0.0000 7.0836 0.0000
0.0000 0.0000 2.9784
Re S
4 4
Cartesian
1.0074 1.0074 0.0000
2.5344 4.5492 1.4892
4.5492 2.5344 1.4892
6.0762 6.0762 0.0000
1.2751 5.8086 0.0000
2.2668 2.2668 1.4892
4.8169 4.8169 1.4892
5.8086 1.2751 0.0000


[3]
PrNd2SmS4 (PBE, optimized geometry); total DFT energy (no corrections) = -0.2375 Ha/atom; density of states at the Fermi level = 5.1 states/eV/f.u.
1.0
7.0496 0.0000 0.0000
0.0000 4.0317 0.0000
-2.3148 0.0000 6.6798
Pr Nd Sm S
1 2 1 4
Cartesian
0.0000 0.0000 0.0000
2.3674 0.0000 3.3399
3.5248 2.0159 0.0000
-1.1574 2.0159 3.3399
0.0172 0.0000 4.9766
1.1760 2.0159 1.6976
3.5587 2.0159 4.9822
4.7175 0.0000 1.7032


[4]
Na2Cd2As (PBE, optimized geometry); formation enthalpy at 0 K = -0.1349 eV/atom; total DFT energy (no corrections) = -0.0720 Ha/atom; density of states at the Fermi level = 1.4 states/eV/f.u.
1.0
7.2401 0.0000 0.0000
0.0000 7.2401 0.0000
0.0000 0.0000 4.9740
Na Cd As
4 4 2
Cartesian
1.2703 2.3497 0.0000
2.3497 5.9698 0.0000
4.8903 1.2703 0.0000
5.9698 4.8903 0.0000
0.9874 4.6075 2.4870
2.6326 0.9874 2.4870
4.6075 6.2527 2.4870
6.2527 2.6326 2.4870
0.0000 0.0000 2.4870
3.6200 3.6200 2.4870